Record 1
{"formula": "Pr5SmIn6", "functional": "PBE", "state": "relaxed", "lattice_angstrom": [[9.1199, -2.7484, 0.0000], [9.1199, 2.7484, 0.0000], [-3.3230, 0.0000, 7.0478]], "species": ["Pr", "Pr", "Pr", "Pr", "Pr", "Sm", "In", "In", "In", "In", "In", "In"], "fractional_positions": [[0.0000, 0.0000, 0.0000], [0.3309, 0.3309, 0.3309], [0.3345, 0.3345, 0.8345], [0.6656, 0.6656, 0.1655], [0.6691, 0.6691, 0.6691], [0.0000, 0.0000, 0.5000], [0.1649, 0.1649, 0.4183], [0.1649, 0.1649, 0.9116], [0.5000, 0.5000, 0.2567], [0.5000, 0.5000, 0.7433], [0.8351, 0.8351, 0.0884], [0.8351, 0.8351, 0.5817]], "e_tot_ev_per_atom": -4.247, "density_g_cm3": 7.256, "crystal_system": "monoclinic", "ef_mev_per_atom": -493}

=====

Record 2
{"formula": "Pr14SmIn", "functional": "PBE", "state": "relaxed", "lattice_angstrom": [[7.3286, 0.0000, 0.0000], [0.0000, 7.3286, 0.0000], [0.0000, 0.0000, 10.3845]], "species": ["Pr", "Pr", "Pr", "Pr", "Pr", "Pr", "Pr", "Pr", "Pr", "Pr", "Pr", "Pr", "Pr", "Pr", "Sm", "In"], "fractional_positions": [[0.0000, 0.0000, 0.0000], [0.0000, 0.5000, 0.0000], [0.0000, 0.5000, 0.5000], [0.2467, 0.2467, 0.2557], [0.2467, 0.2467, 0.7443], [0.2467, 0.7533, 0.2557], [0.2467, 0.7533, 0.7443], [0.5000, 0.0000, 0.0000], [0.5000, 0.0000, 0.5000], [0.5000, 0.5000, 0.0000], [0.7533, 0.2467, 0.2557], [0.7533, 0.2467, 0.7443], [0.7533, 0.7533, 0.2557], [0.7533, 0.7533, 0.7443], [0.5000, 0.5000, 0.5000], [0.0000, 0.0000, 0.5000]], "e_tot_ev_per_atom": -4.691, "density_g_cm3": 6.663, "crystal_system": "tetragonal", "ef_mev_per_atom": -43}

=====

Record 3
{"formula": "Pr8Sm2In", "functional": "PBE", "state": "relaxed", "lattice_angstrom": [[9.3148, -2.5582, 0.0000], [9.3148, 2.5582, 0.0000], [-2.2034, 0.0000, 7.9070]], "species": ["Pr", "Pr", "Pr", "Pr", "Pr", "Pr", "Pr", "Pr", "Sm", "Sm", "In"], "fractional_positions": [[0.0439, 0.0439, 0.2300], [0.1365, 0.1365, 0.6781], [0.3224, 0.3224, 0.5915], [0.4100, 0.4100, 0.0579], [0.5900, 0.5900, 0.9421], [0.6776, 0.6776, 0.4085], [0.8635, 0.8635, 0.3219], [0.9561, 0.9561, 0.7700], [0.2245, 0.2245, 0.1334], [0.7755, 0.7755, 0.8666], [0.5000, 0.5000, 0.5000]], "e_tot_ev_per_atom": -4.650, "density_g_cm3": 6.798, "crystal_system": "monoclinic", "ef_mev_per_atom": -67}

=====

Record 4
{"formula": "PrSm2In", "functional": "PBE", "state": "relaxed", "lattice_angstrom": [[3.6637, 0.0000, 0.0000], [0.0000, 3.6637, 0.0000], [0.0000, 0.0000, 9.4410]], "species": ["Pr", "Sm", "Sm", "In"], "fractional_positions": [[0.0000, 0.0000, 0.0000], [0.5000, 0.5000, 0.2783], [0.5000, 0.5000, 0.7217], [0.0000, 0.0000, 0.5000]], "e_tot_ev_per_atom": -4.471, "density_g_cm3": 7.291, "crystal_system": "tetragonal", "ef_mev_per_atom": -232}

=====

Record 5
{"formula": "PrSm6In5", "functional": "PBE", "state": "relaxed", "lattice_angstrom": [[-2.5369, 4.4919, 7.6619], [2.5369, -4.4919, 7.6619], [2.5369, 4.4919, -7.6619]], "species": ["Pr", "Sm", "Sm", "Sm", "Sm", "Sm", "Sm", "In", "In", "In", "In", "In"], "fractional_positions": [[0.0000, 0.0000, 0.0000], [0.0927, 0.8294, 0.2633], [0.2723, 0.5000, 0.7723], [0.4339, 0.1706, 0.2633], [0.5661, 0.8294, 0.7367], [0.7277, 0.5000, 0.2277], [0.9073, 0.1706, 0.7367], [0.1545, 0.6545, 0.5000], [0.3236, 0.3236, 0.0000], [0.5000, 0.0000, 0.5000], [0.6764, 0.6764, 0.0000], [0.8455, 0.3455, 0.5000]], "e_tot_ev_per_atom": -4.291, "density_g_cm3": 7.689, "crystal_system": "orthorhombic", "ef_mev_per_atom": -392}

=====

Record 6
{"formula": "PrSm9In2", "functional": "PBE", "state": "relaxed", "lattice_angstrom": [[4.9680, 0.0000, 0.0000], [0.0000, 4.9680, 0.0000], [0.0000, 0.0000, 15.2899]], "species": ["Pr", "Sm", "Sm", "Sm", "Sm", "Sm", "Sm", "Sm", "Sm", "Sm", "In", "In"], "fractional_positions": [[0.0000, 0.0000, 0.0000], [0.0000, 0.5000, 0.1759], [0.0000, 0.5000, 0.5000], [0.0000, 0.5000, 0.8241], [0.5000, 0.0000, 0.1759], [0.5000, 0.0000, 0.5000], [0.5000, 0.0000, 0.8241], [0.5000, 0.5000, 0.0000], [0.5000, 0.5000, 0.3402], [0.5000, 0.5000, 0.6598], [0.0000, 0.0000, 0.3392], [0.0000, 0.0000, 0.6608]], "e_tot_ev_per_atom": -4.559, "density_g_cm3": 7.585, "crystal_system": "tetragonal", "ef_mev_per_atom": -165}

=====

What did the first record say?
{"formula": "Pr5SmIn6", "functional": "PBE", "state": "relaxed", "lattice_angstrom": [[9.1199, -2.7484, 0.0000], [9.1199, 2.7484, 0.0000], [-3.3230, 0.0000, 7.0478]], "species": ["Pr", "Pr", "Pr", "Pr", "Pr", "Sm", "In", "In", "In", "In", "In", "In"], "fractional_positions": [[0.0000, 0.0000, 0.0000], [0.3309, 0.3309, 0.3309], [0.3345, 0.3345, 0.8345], [0.6656, 0.6656, 0.1655], [0.6691, 0.6691, 0.6691], [0.0000, 0.0000, 0.5000], [0.1649, 0.1649, 0.4183], [0.1649, 0.1649, 0.9116], [0.5000, 0.5000, 0.2567], [0.5000, 0.5000, 0.7433], [0.8351, 0.8351, 0.0884], [0.8351, 0.8351, 0.5817]], "e_tot_ev_per_atom": -4.247, "density_g_cm3": 7.256, "crystal_system": "monoclinic", "ef_mev_per_atom": -493}

=====

Copy entry 1 word for word.
{"formula": "Pr5SmIn6", "functional": "PBE", "state": "relaxed", "lattice_angstrom": [[9.1199, -2.7484, 0.0000], [9.1199, 2.7484, 0.0000], [-3.3230, 0.0000, 7.0478]], "species": ["Pr", "Pr", "Pr", "Pr", "Pr", "Sm", "In", "In", "In", "In", "In", "In"], "fractional_positions": [[0.0000, 0.0000, 0.0000], [0.3309, 0.3309, 0.3309], [0.3345, 0.3345, 0.8345], [0.6656, 0.6656, 0.1655], [0.6691, 0.6691, 0.6691], [0.0000, 0.0000, 0.5000], [0.1649, 0.1649, 0.4183], [0.1649, 0.1649, 0.9116], [0.5000, 0.5000, 0.2567], [0.5000, 0.5000, 0.7433], [0.8351, 0.8351, 0.0884], [0.8351, 0.8351, 0.5817]], "e_tot_ev_per_atom": -4.247, "density_g_cm3": 7.256, "crystal_system": "monoclinic", "ef_mev_per_atom": -493}